Entry 1:
# PBE Sc3CdAu, optimized geometry
data_Sc3CdAu
_cell_length_a 4.840
_cell_length_b 18.538
_cell_length_c 4.830
_cell_angle_alpha 90.00
_cell_angle_beta 90.00
_cell_angle_gamma 90.00
_space_group_name_H-M_alt 'C m c m'
_space_group_IT_number 63
_space_group_name_Hall '-C 2c 2'
loop_
_atom_site_label
_atom_site_type_symbol
_atom_site_fract_x
_atom_site_fract_y
_atom_site_fract_z
Sc1 Sc 0.000 0.058 0.250
Sc2 Sc 0.000 0.250 0.250
Sc3 Sc 0.000 0.441 0.250
Cd1 Cd 0.000 0.152 0.750
Au1 Au 0.000 0.342 0.750
# formation energy	-405	meV per atom
# distance to the lowest polymorph of the same formula	0.000	eV per atom

Entry 2:
# PBE LiMgZn2, optimized geometry
data_LiMgZn2
_cell_length_a 2.8906
_cell_length_b 2.8906
_cell_length_c 28.4791
_cell_angle_alpha 90.00
_cell_angle_beta 90.00
_cell_angle_gamma 120.00
_space_group_name_H-M_alt 'R -3 m'
_space_group_IT_number 166
_space_group_name_Hall '-R 3 2"'
loop_
_atom_site_label
_atom_site_type_symbol
_atom_site_fract_x
_atom_site_fract_y
_atom_site_fract_z
Li1 Li 0.0000 0.0000 0.0000
Mg1 Mg 0.0000 0.0000 0.5000
Zn1 Zn 0.0000 0.0000 0.2547
# formation energy	-21	meV per atom

Entry 3:
# PBE TaTeBr2, optimized geometry
data_TaTeBr2
_cell_length_a 3.264
_cell_length_b 5.057
_cell_length_c 14.793
_cell_angle_alpha 90.00
_cell_angle_beta 90.00
_cell_angle_gamma 90.00
_space_group_name_H-M_alt 'I m m m'
_space_group_IT_number 71
_space_group_name_Hall '-I 2 2'
loop_
_atom_site_label
_atom_site_type_symbol
_atom_site_fract_x
_atom_site_fract_y
_atom_site_fract_z
Ta1 Ta 0.000 0.000 0.000
Te1 Te 0.000 0.000 0.500
Br1 Br 0.000 0.500 0.354
# formation energy without anion corrections	-0.181	eV per atom
# distance to the lowest polymorph of the same formula	0.258	eV per atom